# CdSeI

CdSeI after structural relaxation (PBE-GGA, Alexandria).

POSCAR file:
```
CdSeI
1.0
7.191 -3.676 0.000
7.191 3.676 0.000
-1.306 0.000 4.223
Cd Se I
2 2 2
Cartesian
2.332 0.000 0.750
10.743 0.000 3.473
3.917 2.157 1.270
9.158 2.157 2.953
6.537 1.685 2.112
7.191 -2.164 0.000
```

Computed properties:
Energy relative to the elements, uncorrected ... -0.381 eV per atom
SG ... No. 5
E above lowest polymorph ... 1.84 kcal/mol of atoms

# DyUAg2S6

DyUAg2S6 after structural relaxation (PBE-GGA, Alexandria).

POSCAR file:
```
DyUAg2S6
1.0
3.262 1.883 6.290
-3.262 1.883 6.290
0.000 -3.767 6.290
Dy U Ag S
1 1 2 6
Cartesian
0.000 0.000 0.000
0.000 0.000 9.378
0.000 0.000 5.959
0.000 0.000 15.511
-2.033 -0.007 7.805
-1.098 -1.776 10.895
1.023 -1.757 7.805
-0.989 1.839 10.895
1.011 1.764 7.805
2.088 -0.063 10.895
```

Computed properties:
Energy relative to the elements, uncorrected ... -0.885 eV per atom
DOS at the Fermi energy ... 7.240 states/eV/f.u.
SG ... No. 146

# Ga2GeIr

Ga2GeIr after structural relaxation (PBE-GGA, Alexandria).

POSCAR file:
```
Ga2GeIr
1.0
1.491 0.861 9.004
-1.491 0.861 9.004
0.000 -1.722 9.004
Ga Ge Ir
2 1 1
Cartesian
0.000 0.000 2.583
0.000 0.000 24.429
0.000 0.000 0.000
0.000 0.000 13.506
```

Computed properties:
DOS at the Fermi energy ... 2.202 states/eV/f.u.
ΔE_f ... -0.09 eV/atom
SG ... No. 166

# La2ScSnC

La2ScSnC after structural relaxation (PBE-GGA, Alexandria).

POSCAR file:
```
La2ScSnC
1.0
5.240 0.000 0.000
0.000 5.240 0.000
0.000 0.000 4.627
La Sc Sn C
2 1 1 1
Cartesian
0.000 2.620 0.000
2.620 0.000 0.000
0.000 0.000 2.314
2.620 2.620 2.314
0.000 0.000 0.000
```

Computed properties:
DOS at the Fermi energy ... 2.842 states/eV/f.u.
ΔE_f ... -0.52 eV/atom
SG ... No. 123